1.
The following is a GGA-PBE calculation of an optimized crystal structure of NaAcBi2Pd2, from the Alexandria database.

```
data_NaAcBi2Pd2
_space_group_name_H-M_alt 'P 1'
_space_group_IT_number 1
_space_group_name_Hall 'P 1'
_cell_length_a 4.8501
_cell_length_b 4.8501
_cell_length_c 7.5123
_cell_angle_alpha 90.00
_cell_angle_beta 90.00
_cell_angle_gamma 120.00
loop_
_atom_site_label
_atom_site_fract_x
_atom_site_fract_y
_atom_site_fract_z
Na1 0.0000 0.0000 0.5000
Ac1 0.0000 0.0000 0.0000
Bi1 0.6667 0.3333 0.7147
Bi2 0.3333 0.6667 0.2853
Pd1 0.6667 0.3333 0.3024
Pd2 0.3333 0.6667 0.6976
```

## Properties
E_tot: -27.00 eV per cell
magnetic moment: 0.000 μB/cell
volume: 153 Å³/f.u.
energy relative to the elements: -3.4 eV/f.u.

2.
The following is a GGA-PBE calculation of an optimized crystal structure of Cd2GaTeAs, from the Alexandria database.

```
data_Cd2GaTeAs
_space_group_name_H-M_alt 'P 1'
_space_group_IT_number 1
_space_group_name_Hall 'P 1'
_cell_length_a 5.5280
_cell_length_b 5.5295
_cell_length_c 5.5280
_cell_angle_alpha 90.00
_cell_angle_beta 90.00
_cell_angle_gamma 90.00
loop_
_atom_site_label
_atom_site_fract_x
_atom_site_fract_y
_atom_site_fract_z
As1 0.5000 0.5000 0.5000
Te1 0.0000 0.0000 0.0000
Ga1 0.0000 0.5000 0.0000
Cd1 0.0000 0.0000 0.5000
Cd2 0.5000 0.0000 0.0000
```

## Properties
E_tot: -9.38 eV per cell
magnetic moment: 0.000 μB/cell
volume: 169 Å³/f.u.
energy relative to the elements, uncorrected: 653 meV/atom

3.
The following is a GGA-PBE calculation of an optimized crystal structure of Zn3ICl, from the Alexandria database.

```
data_Zn3ICl
_space_group_name_H-M_alt 'P 1'
_space_group_IT_number 1
_space_group_name_Hall 'P 1'
_cell_length_a 5.2875
_cell_length_b 5.2875
_cell_length_c 5.2875
_cell_angle_alpha 90.00
_cell_angle_beta 90.00
_cell_angle_gamma 90.00
loop_
_atom_site_label
_atom_site_fract_x
_atom_site_fract_y
_atom_site_fract_z
I1 0.5000 0.5000 0.5000
Zn1 0.0000 0.5000 0.0000
Zn2 0.0000 0.0000 0.5000
Zn3 0.5000 0.0000 0.0000
Cl1 0.0000 0.0000 0.0000
```

## Properties
E_tot: -5.69 eV per cell
magnetic moment: 0.000 μB/cell
volume: 148 Å³/f.u.
energy relative to the elements, uncorrected: 305 meV/atom

4.
The following is a GGA-PBE calculation of an optimized crystal structure of Nb2CuSn, from the Alexandria database.

```
data_Nb2CuSn
_space_group_name_H-M_alt 'P 1'
_space_group_IT_number 1
_space_group_name_Hall 'P 1'
_cell_length_a 7.3556
_cell_length_b 7.3556
_cell_length_c 5.8993
_cell_angle_alpha 51.43
_cell_angle_beta 51.43
_cell_angle_gamma 90.00
loop_
_atom_site_label
_atom_site_fract_x
_atom_site_fract_y
_atom_site_fract_z
Nb1 0.6039 0.1250 0.2500
Nb2 0.1461 0.6250 0.2500
Nb3 0.3750 0.3961 0.7500
Nb4 0.8750 0.8539 0.7500
Sn1 0.0000 0.0000 0.0000
Sn2 0.7500 0.2500 0.5000
Cu1 0.5000 0.5000 0.0000
Cu2 0.2500 0.7500 0.5000
```

## Properties
E_tot: -53.72 eV per cell
magnetic moment: 0.000 μB/cell
volume: 75 Å³/f.u.
energy relative to the elements: 1.4 eV/f.u.

5.
The following is a GGA-PBE calculation of an optimized crystal structure of Sc5Zn2Te, from the Alexandria database.

```
data_Sc5Zn2Te
_space_group_name_H-M_alt 'P 1'
_space_group_IT_number 1
_space_group_name_Hall 'P 1'
_cell_length_a 7.5691
_cell_length_b 7.5691
_cell_length_c 8.0172
_cell_angle_alpha 118.17
_cell_angle_beta 118.17
_cell_angle_gamma 90.00
loop_
_atom_site_label
_atom_site_fract_x
_atom_site_fract_y
_atom_site_fract_z
Sc1 0.5089 0.7010 0.7099
Sc2 0.7990 0.9911 0.2901
Sc3 0.0000 0.0000 0.0000
Sc4 0.5000 0.5000 0.0000
Sc5 0.2010 0.0089 0.7099
Sc6 0.7010 0.2010 0.7099
Sc7 0.0089 0.5089 0.7099
Sc8 0.2990 0.7990 0.2901
Sc9 0.9911 0.4911 0.2901
Sc10 0.4911 0.2990 0.2901
Zn1 0.1395 0.3605 0.0000
Zn2 0.6395 0.1395 0.0000
Zn3 0.3605 0.8605 0.0000
Zn4 0.8605 0.6395 0.0000
Te1 0.7500 0.7500 0.5000
Te2 0.2500 0.2500 0.5000
```

## Properties
E_tot: -82.30 eV per cell
magnetic moment: 0.067 μB/cell
volume: 171 Å³/f.u.
energy relative to the elements, uncorrected: -475 meV/atom

6.
The following is a GGA-PBE calculation of an optimized crystal structure of Ca2BeF, from the Alexandria database.

```
data_Ca2BeF
_space_group_name_H-M_alt 'P 1'
_space_group_IT_number 1
_space_group_name_Hall 'P 1'
_cell_length_a 4.9639
_cell_length_b 4.9639
_cell_length_c 4.9639
_cell_angle_alpha 60.00
_cell_angle_beta 60.00
_cell_angle_gamma 60.00
loop_
_atom_site_label
_atom_site_fract_x
_atom_site_fract_y
_atom_site_fract_z
Be1 0.0000 0.0000 0.0000
Ca1 0.2500 0.2500 0.2500
Ca2 0.7500 0.7500 0.7500
F1 0.5000 0.5000 0.5000
```

## Properties
E_tot: -12.12 eV per cell
magnetic moment: 0.636 μB/cell
volume: 86 Å³/f.u.
energy relative to the elements, uncorrected: -631 meV/atom

7.
The following is a GGA-PBE calculation of an optimized crystal structure of Ge2IN, from the Alexandria database.

```
data_Ge2IN
_space_group_name_H-M_alt 'P 1'
_space_group_IT_number 1
_space_group_name_Hall 'P 1'
_cell_length_a 4.8317
_cell_length_b 4.8317
_cell_length_c 4.8317
_cell_angle_alpha 60.00
_cell_angle_beta 60.00
_cell_angle_gamma 60.00
loop_
_atom_site_label
_atom_site_fract_x
_atom_site_fract_y
_atom_site_fract_z
I1 0.5000 0.5000 0.5000
Ge1 0.2500 0.2500 0.2500
Ge2 0.7500 0.7500 0.7500
N1 0.0000 0.0000 0.0000
```

## Properties
E_tot: -13.52 eV per cell
magnetic moment: 0.000 μB/cell
volume: 80 Å³/f.u.
energy relative to the elements, uncorrected: 1398 meV/atom

8.
The following is a GGA-PBE calculation of an optimized crystal structure of KY2Au, from the Alexandria database.

```
data_KY2Au
_space_group_name_H-M_alt 'P 1'
_space_group_IT_number 1
_space_group_name_Hall 'P 1'
_cell_length_a 5.3356
_cell_length_b 5.3356
_cell_length_c 5.3356
_cell_angle_alpha 60.00
_cell_angle_beta 60.00
_cell_angle_gamma 60.00
loop_
_atom_site_label
_atom_site_fract_x
_atom_site_fract_y
_atom_site_fract_z
Y1 0.2500 0.2500 0.2500
Y2 0.7500 0.7500 0.7500
K1 0.0000 0.0000 0.0000
Au1 0.5000 0.5000 0.5000
```

## Properties
E_tot: -16.83 eV per cell
magnetic moment: 0.001 μB/cell
volume: 107 Å³/f.u.
energy relative to the elements: 0.5 eV/f.u.

9.
The following is a GGA-PBE calculation of an optimized crystal structure of PaZnSbO5, from the Alexandria database.

```
data_PaZnSbO5
_space_group_name_H-M_alt 'P 1'
_space_group_IT_number 1
_space_group_name_Hall 'P 1'
_cell_length_a 5.8782
_cell_length_b 5.8782
_cell_length_c 8.5851
_cell_angle_alpha 112.45
_cell_angle_beta 112.45
_cell_angle_gamma 96.27
loop_
_atom_site_label
_atom_site_fract_x
_atom_site_fract_y
_atom_site_fract_z
Pa1 0.2890 0.7110 0.2500
Pa2 0.7110 0.2890 0.7500
Zn1 0.0000 0.0000 0.5000
Zn2 0.0000 0.0000 0.0000
Sb1 0.6895 0.3105 0.2500
Sb2 0.3105 0.6895 0.7500
O1 0.0597 0.9403 0.2500
O2 0.9403 0.0597 0.7500
O3 0.8207 0.3475 0.0365
O4 0.1793 0.6525 0.9635
O5 0.6525 0.1793 0.4635
O6 0.3475 0.8207 0.5365
O7 0.7133 0.6821 0.3568
O8 0.2867 0.3179 0.6432
O9 0.3179 0.2867 0.1432
O10 0.6821 0.7133 0.8568
```

## Properties
E_tot: -113.33 eV per cell
magnetic moment: 0.000 μB/cell
volume: 121 Å³/f.u.
energy relative to the elements, uncorrected: -2123 meV/atom

10.
The following is a GGA-PBE calculation of an optimized crystal structure of CaLa2Mg, from the Alexandria database.

```
data_CaLa2Mg
_space_group_name_H-M_alt 'P 1'
_space_group_IT_number 1
_space_group_name_Hall 'P 1'
_cell_length_a 7.2050
_cell_length_b 7.2050
_cell_length_c 5.7620
_cell_angle_alpha 66.56
_cell_angle_beta 66.56
_cell_angle_gamma 30.40
loop_
_atom_site_label
_atom_site_fract_x
_atom_site_fract_y
_atom_site_fract_z
Ca1 0.2500 0.2500 0.2500
Mg1 0.7500 0.7500 0.7500
La1 0.0306 0.0306 0.9697
La2 0.4694 0.4694 0.5303
```

## Properties
E_tot: -13.51 eV per cell
magnetic moment: 0.000 μB/cell
volume: 138 Å³/f.u.
energy relative to the elements: -0.1 eV/f.u.

11.
The following is a GGA-PBE calculation of an optimized crystal structure of Th6AgC, from the Alexandria database.

```
data_Th6AgC
_space_group_name_H-M_alt 'P 1'
_space_group_IT_number 1
_space_group_name_Hall 'P 1'
_cell_length_a 6.4744
_cell_length_b 6.5183
_cell_length_c 7.5373
_cell_angle_alpha 64.86
_cell_angle_beta 65.16
_cell_angle_gamma 60.30
loop_
_atom_site_label
_atom_site_fract_x
_atom_site_fract_y
_atom_site_fract_z
Th1 0.0421 0.4013 0.7821
Th2 0.7696 0.0393 0.7833
Th3 0.5998 0.2289 0.2154
Th4 0.2304 0.9607 0.2167
Th5 0.9579 0.5987 0.2179
Th6 0.4002 0.7711 0.7846
Ag1 0.5000 0.5000 0.5000
C1 0.0000 0.0000 0.0000
```

## Properties
E_tot: -55.87 eV per cell
magnetic moment: 0.000 μB/cell
volume: 241 Å³/f.u.
energy relative to the elements: 0.7 eV/f.u.

12.
The following is a GGA-PBE calculation of an optimized crystal structure of AlAg3, from the Alexandria database.

```
data_AlAg3
_space_group_name_H-M_alt 'P 1'
_space_group_IT_number 1
_space_group_name_Hall 'P 1'
_cell_length_a 2.8927
_cell_length_b 11.5827
_cell_length_c 4.1261
_cell_angle_alpha 90.00
_cell_angle_beta 90.00
_cell_angle_gamma 90.00
loop_
_atom_site_label
_atom_site_fract_x
_atom_site_fract_y
_atom_site_fract_z
Ag1 0.0000 0.9940 0.0000
Ag2 0.5000 0.1237 0.5000
Ag3 0.0000 0.2513 0.0000
Ag4 0.5000 0.3810 0.5000
Ag5 0.5000 0.6232 0.5000
Ag6 0.0000 0.7518 0.0000
Al1 0.0000 0.5002 0.0000
Al2 0.5000 0.8748 0.5000
```

## Properties
E_tot: -24.79 eV per cell
magnetic moment: 0.000 μB/cell
volume: 69 Å³/f.u.
energy relative to the elements: -0.1 eV/f.u.